[1]
Compound: KLi2TiF8
Source: Alexandria via LeMat-Bulk
Functional: PBE
Structure: relaxed

Properties
formation energy from raw total energies: -2889 meV per atom
V: 163 Å³/cell

CIF file:
```
data_KLi2TiF8
_chemical_formula_sum 'K1 Li2 Ti1 F8'
_cell_length_a 4.7136
_cell_length_b 4.8118
_cell_length_c 7.2023
_cell_angle_alpha 89.86
_cell_angle_beta 89.81
_cell_angle_gamma 87.40
_symmetry_space_group_name_H-M 'P -1'
_symmetry_Int_Tables_number 2
_symmetry_space_group_name_Hall '-P 1'
loop_
_atom_site_label
_atom_site_type_symbol
_atom_site_fract_x
_atom_site_fract_y
_atom_site_fract_z
K1 K 0.0000 0.0000 0.0000
Li1 Li 0.4991 0.4993 0.2898
Ti1 Ti 0.0000 0.0000 0.5000
F1 F 0.2160 0.8136 0.6877
F2 F 0.2175 0.8148 0.3120
F3 F 0.2610 0.2902 0.4998
F4 F 0.3128 0.4262 0.0005
```



[2]
Compound: K3Li2TiF9
Source: Alexandria via LeMat-Bulk
Functional: PBE
Structure: relaxed

Properties
formation energy from raw total energies: -3087 meV per atom
V: 215 Å³/cell

CIF file:
```
data_K3Li2TiF9
_chemical_formula_sum 'K3 Li2 Ti1 F9'
_cell_length_a 5.8115
_cell_length_b 5.8115
_cell_length_c 7.3493
_cell_angle_alpha 90.00
_cell_angle_beta 90.00
_cell_angle_gamma 120.00
_symmetry_space_group_name_H-M 'P -3 m 1'
_symmetry_Int_Tables_number 164
_symmetry_space_group_name_Hall '-P 3 2"'
loop_
_atom_site_label
_atom_site_type_symbol
_atom_site_fract_x
_atom_site_fract_y
_atom_site_fract_z
K1 K 0.0000 0.0000 0.0000
K2 K 0.3333 0.6667 0.7100
Li1 Li 0.3333 0.6667 0.1160
Ti1 Ti 0.0000 0.0000 0.5000
F1 F 0.0000 0.5000 0.0000
F2 F 0.1537 0.3074 0.3513
```



Which value of V does entry 2 give? 215 Å³/cell



Among the records above, which one has the lowest V? KLi2TiF8